A plane-wave DFT calculation with PBE-GGA was carried out for an optimized crystal structure of V2CuPt.

Summary:
DFT formation energy: -0.249 eV/atom
Density of states at the Fermi level: 0.891 states/eV/atom
Total moment: 0.0 μB per formula unit

Cell lengths 3.6948, 3.6948, 3.9523 Å; angles 90.00, 90.00, 90.00 degrees
With the nearest neighbours (Å) after each atom.
Atoms (fractional coordinates):
V (0.0000, 0.5000, 0.0000)  4 V 2.61, 4 Cu 2.71, 4 Pt 2.71
V (0.5000, 0.0000, 0.0000)  4 V 2.61, 4 Cu 2.71, 4 Pt 2.71
Cu (0.0000, 0.0000, 0.5000)  4 Pt 2.61, 8 V 2.71
Pt (0.5000, 0.5000, 0.5000)  4 Cu 2.61, 8 V 2.71